PBE-GGA K2BaNbOs, optimized geometry; space group = No. 123; VASP energy = -3.272 eV/atom; energy of formation = 1.81 eV per atom; density of states at the Fermi level = 11.29 states/eV/cell
1.0
6.202 0.000 0.000
0.000 6.202 0.000
0.000 0.000 5.772
K Ba Nb Os
2 1 1 1
direct
0.000 0.500 0.000 K
0.500 0.000 0.000 K
0.000 0.000 0.500 Ba
0.500 0.500 0.500 Nb
0.000 0.000 0.000 Os